This record from Alexandria via LeMat-Bulk describes a relaxed structure of Tl4Hg5Sb. The functional is PBE.

abc: 6.787 7.557 7.557
angles: 78.37 63.32 63.32
Atoms (fractional coordinates):
1 Tl 0.142 0.239 0.368
2 Tl 0.748 0.761 0.632
3 Tl 0.510 0.632 0.239
4 Tl 0.381 0.368 0.761
5 Sb 0.240 0.000 0.000
6 Hg 0.198 0.849 0.654
7 Hg 0.852 0.346 0.849
8 Hg 0.701 0.151 0.346
9 Hg 0.047 0.654 0.151
10 Hg 0.691 0.000 0.000

## Properties
Symmetry: I4, No. 79
Calculated total energy: -1.498 eV per atom

This record from Alexandria via LeMat-Bulk describes a relaxed structure of Tl15Hg2Sb2. The functional is PBE.

abc: 9.400 9.400 9.400
angles: 64.68 64.68 64.68
Atoms (fractional coordinates):
1 Tl 0.193 0.574 0.574
2 Tl 0.807 0.426 0.426
3 Tl 0.000 0.686 0.314
4 Tl 0.000 0.314 0.686
5 Tl 0.426 0.807 0.426
6 Tl 0.314 0.000 0.686
7 Tl 0.686 0.000 0.314
8 Tl 0.314 0.686 0.000
9 Tl 0.000 0.500 0.000
10 Tl 0.000 0.000 0.500
11 Tl 0.686 0.314 0.000
12 Tl 0.426 0.426 0.807
13 Tl 0.500 0.000 0.000
14 Tl 0.574 0.574 0.193
15 Tl 0.574 0.193 0.574
16 Sb 0.340 0.340 0.340
17 Sb 0.660 0.660 0.660
18 Hg 0.094 0.094 0.094
19 Hg 0.906 0.906 0.906

## Properties
Symmetry: R-3m, No. 166
Calculated total energy: -2.244 eV per atom

Q: Among the records above, which one has the lowest calculated total energy?
A: Tl15Hg2Sb2

Q: Which of these has the highest calculated total energy?
A: Tl4Hg5Sb

Copy entry 2 word for word.
This record from Alexandria via LeMat-Bulk describes a relaxed structure of Tl15Hg2Sb2. The functional is PBE.

abc: 9.400 9.400 9.400
angles: 64.68 64.68 64.68
Atoms (fractional coordinates):
1 Tl 0.193 0.574 0.574
2 Tl 0.807 0.426 0.426
3 Tl 0.000 0.686 0.314
4 Tl 0.000 0.314 0.686
5 Tl 0.426 0.807 0.426
6 Tl 0.314 0.000 0.686
7 Tl 0.686 0.000 0.314
8 Tl 0.314 0.686 0.000
9 Tl 0.000 0.500 0.000
10 Tl 0.000 0.000 0.500
11 Tl 0.686 0.314 0.000
12 Tl 0.426 0.426 0.807
13 Tl 0.500 0.000 0.000
14 Tl 0.574 0.574 0.193
15 Tl 0.574 0.193 0.574
16 Sb 0.340 0.340 0.340
17 Sb 0.660 0.660 0.660
18 Hg 0.094 0.094 0.094
19 Hg 0.906 0.906 0.906

## Properties
Symmetry: R-3m, No. 166
Calculated total energy: -2.244 eV per atom

Q: Which value of calculated total energy does entry 2 give?
A: -2.244 eV per atom